A plane-wave DFT calculation with PBE was carried out for an optimized crystal structure of Ti2ZnCo.

Unit cell a=6.907 b=6.907 c=5.517 alpha=51.24 beta=51.24 gamma=90.00
Fractional positions:
Zn  0.000  0.000  0.000
Zn  0.750  0.250  0.500
Co  0.500  0.500  0.000
Co  0.250  0.750  0.500
Ti  0.580  0.125  0.250
Ti  0.170  0.625  0.250
Ti  0.375  0.420  0.750
Ti  0.875  0.830  0.750

Computed properties:
Crystal system ... tetragonal
Spin magnetization ... 0.00 μB/f.u.
Calculated total energy ... -0.4383 Ry per atom
Density of states at the Fermi level ... 1.1939 states/eV per atom
Volume ... 15.3 A^3/atom
ρ ... 5.97 g/cm³
Formation energy from the elements ... 0.079 eV/atom